Crystalline SbRh3 at its relaxed geometry, computed with GGA-PBE.

VASP energy ... -6.474 eV per atom
Total magnetization ... 1.5 μB per cell
Uncorrected formation energy ... 0.07 eV per atom

The structure in CIF format:
```
data_SbRh3
_cell_length_a 3.0249
_cell_length_b 3.0249
_cell_length_c 7.0197
_cell_angle_alpha 90.00
_cell_angle_beta 90.00
_cell_angle_gamma 90.00
_space_group_name_H-M_alt 'P 1'
_space_group_IT_number 1
loop_
_space_group_symop_operation_xyz
'x,y,z'
loop_
_atom_site_label
_atom_site_type_symbol
_atom_site_fract_x
_atom_site_fract_y
_atom_site_fract_z
_atom_site_occupancy
Sb1 Sb 0.0000 0.0000 0.0000 1
Rh1 Rh 0.0000 0.0000 0.5000 1
Rh2 Rh 0.5000 0.5000 0.2474 1
Rh3 Rh 0.5000 0.5000 0.7526 1
```